Record 1
A plane-wave DFT calculation with GGA-PBE was carried out for crystalline Si2Tc2Sb at its relaxed geometry.

Output
ΔE_f (raw), eV/atom: -0.085
Fermi-level density of states, states/eV/cell: 11.637
V, Å³ per cell: 157.1
Electronic total energy, eV/atom: -7.2247
Mass density, kg/m³: 7907
Energy relative to the lowest polymorph listed for this composition, eV/atom: 0.154

a b c (Å): 7.1853 7.1853 3.0421
angles (deg): 90.00 90.00 90.00
Closest atoms and distances in Å follow each position.
Space group P4/mbm (No. 127)
Symmetry-distinct sites (fractional):
Si  0.1328  0.3671  0.0000 (multiplicity 4)  6 Tc 2.56-2.65, 1 Si 2.70
Tc  0.1534  0.6534  0.5000 (multiplicity 4)  6 Si 2.56-2.65, 2 Sb 2.72
Sb  0.0000  0.0000  0.5000 (multiplicity 2)  4 Tc 2.72, 2 Sb 3.04


Record 2
A plane-wave DFT calculation with GGA-PBE was carried out for crystalline SiTc2Sb at its relaxed geometry.

Output
ΔE_f (raw), eV/atom: 0.110
Fermi-level density of states, states/eV/cell: 13.767
V, Å³ per cell: 193.4
Electronic total energy, eV/atom: -7.4595
Mass density, kg/m³: 8910
Energy relative to the lowest polymorph listed for this composition, eV/atom: 0.188

a b c (Å): 3.0891 3.0891 23.3965
angles (deg): 90.00 90.00 120.00
Closest atoms and distances in Å follow each position.
Space group R-3m (No. 166, hexagonal axes)
Symmetry-distinct sites (fractional):
Si  0.0000  0.0000  0.0000 (multiplicity 3)  6 Tc 2.52
Tc  0.0000  0.0000  0.2573 (multiplicity 6)  3 Si 2.52, 3 Sb 2.77
Sb  0.0000  0.0000  0.5000 (multiplicity 3)  6 Tc 2.77, 6 Sb 3.09


Record 3
A plane-wave DFT calculation with GGA-PBE was carried out for crystalline SiTc2Sb at its relaxed geometry.

Output
ΔE_f (raw), eV/atom: 0.333
Fermi-level density of states, states/eV/cell: 6.923
V, Å³ per cell: 131.8
Electronic total energy, eV/atom: -7.2360
Mass density, kg/m³: 8717
Energy relative to the lowest polymorph listed for this composition, eV/atom: 0.411

a b c (Å): 6.0047 8.1876 3.0279
angles (deg): 90.00 117.74 90.00
Closest atoms and distances in Å follow each position.
Space group C2/m (No. 12)
Symmetry-distinct sites (fractional):
Si  0.0000  0.0000  0.0000 (multiplicity 2)  4 Tc 2.57
Tc  0.2500  0.2500  0.5000 (multiplicity 4)  2 Sb 2.57, 2 Si 2.57
Sb  0.0000  0.5000  0.0000 (multiplicity 2)  4 Tc 2.57


Record 4
A plane-wave DFT calculation with GGA-PBE was carried out for crystalline SiTc2Sb at its relaxed geometry.

Output
ΔE_f (raw), eV/atom: 0.230
Fermi-level density of states, states/eV/cell: 8.059
V, Å³ per cell: 200.5
Electronic total energy, eV/atom: -7.3394
Mass density, kg/m³: 8592
Energy relative to the lowest polymorph listed for this composition, eV/atom: 0.308

a b c (Å): 3.0885 3.0885 24.2740
angles (deg): 90.00 90.00 120.00
Closest atoms and distances in Å follow each position.
Space group R3m (No. 160, hexagonal axes)
Symmetry-distinct sites (fractional):
Si  0.0000  0.0000  0.0000 (multiplicity 3)  3 Tc 2.45
Tc  0.0000  0.0000  0.2638 (multiplicity 3)  3 Si 2.45, 3 Tc 2.73
Tc  0.0000  0.0000  0.5121 (multiplicity 3)  3 Tc 2.73, 3 Sb 2.73
Sb  0.0000  0.0000  0.7601 (multiplicity 3)  3 Tc 2.73, 3 Si 2.89


Record 5
A plane-wave DFT calculation with GGA-PBE was carried out for crystalline SiTcSbTe2 at its relaxed geometry.

Output
ΔE_f (raw), eV/atom: 0.827
Fermi-level density of states, states/eV/cell: 6.721
V, Å³ per cell: 139.3
Electronic total energy, eV/atom: -4.4122
Mass density, kg/m³: 5997
Energy relative to the lowest polymorph listed for this composition, eV/atom: 0.000

a b c (Å): 5.2257 5.2257 5.1008
angles (deg): 90.00 90.00 90.00
Closest atoms and distances in Å follow each position.
Space group P4/mmm (No. 123)
Symmetry-distinct sites (fractional):
Si  0.0000  0.0000  0.0000 (multiplicity 1)  8 Te 3.65, 4 Sb 3.70
Tc  0.5000  0.5000  0.5000 (multiplicity 1)  2 Sb 2.55, 4 Te 2.61
Sb  0.5000  0.5000  0.0000 (multiplicity 1)  2 Tc 2.55
Te  0.0000  0.5000  0.5000 (multiplicity 2)  2 Tc 2.61


Record 6
A plane-wave DFT calculation with GGA-PBE was carried out for crystalline Si2TcSbTe at its relaxed geometry.

Output
ΔE_f (raw), eV/atom: 0.250
Fermi-level density of states, states/eV/cell: 0.890
V, Å³ per cell: 116.6
Electronic total energy, eV/atom: -5.4449
Mass density, kg/m³: 5749

a b c (Å): 4.6772 4.6772 5.3283
angles (deg): 90.00 90.00 90.00
Closest atoms and distances in Å follow each position.
Space group P4/mmm (No. 123)
Symmetry-distinct sites (fractional):
Si  0.0000  0.5000  0.0000 (multiplicity 2)  2 Tc 2.34
Tc  0.0000  0.0000  0.0000 (multiplicity 1)  4 Si 2.34
Sb  0.0000  0.0000  0.5000 (multiplicity 1)  2 Tc 2.66
Te  0.5000  0.5000  0.5000 (multiplicity 1)  4 Sb 3.31, 8 Si 3.54


Record 7
A plane-wave DFT calculation with GGA-PBE was carried out for crystalline SiTcSb2Te at its relaxed geometry.

Output
ΔE_f (raw), eV/atom: 1.183
Fermi-level density of states, states/eV/cell: 3.091
V, Å³ per cell: 137.5
Electronic total energy, eV/atom: -4.2518
Mass density, kg/m³: 6004
Energy relative to the lowest polymorph listed for this composition, eV/atom: 0.375

a b c (Å): 5.1607 5.1607 5.1637
angles (deg): 90.00 90.00 90.00
Closest atoms and distances in Å follow each position.
Space group P4/mmm (No. 123)
Symmetry-distinct sites (fractional):
Si  0.0000  0.0000  0.0000 (multiplicity 1)  4 Sb 2.58, 2 Te 2.58
Tc  0.5000  0.5000  0.5000 (multiplicity 1)  4 Te 3.65, 8 Sb 3.65
Sb  0.0000  0.5000  0.0000 (multiplicity 2)  2 Si 2.58
Te  0.0000  0.0000  0.5000 (multiplicity 1)  2 Si 2.58


Record 8
A plane-wave DFT calculation with GGA-PBE was carried out for crystalline SiTcSbTe2 at its relaxed geometry.

Output
ΔE_f (raw), eV/atom: 1.273
Fermi-level density of states, states/eV/cell: 9.088
V, Å³ per cell: 129.3
Electronic total energy, eV/atom: -3.9656
Mass density, kg/m³: 6461
Energy relative to the lowest polymorph listed for this composition, eV/atom: 0.447

a b c (Å): 5.0695 5.0695 5.0309
angles (deg): 90.00 90.00 90.00
Closest atoms and distances in Å follow each position.
Space group P4/mmm (No. 123)
Symmetry-distinct sites (fractional):
Si  0.0000  0.0000  0.0000 (multiplicity 1)  2 Sb 2.52, 4 Te 2.53
Tc  0.5000  0.5000  0.5000 (multiplicity 1)  8 Te 3.57, 4 Sb 3.58
Sb  0.0000  0.0000  0.5000 (multiplicity 1)  2 Si 2.52
Te  0.0000  0.5000  0.0000 (multiplicity 2)  2 Si 2.53